*A*
# TaTi2HOs, optimized geometry, DFT PBE
data_TaTi2HOs
_chemical_formula_sum 'Ta1 Ti2 H1 Os1'
_cell_length_a 3.828
_cell_length_b 3.828
_cell_length_c 4.575
_cell_angle_alpha 90.00
_cell_angle_beta 90.00
_cell_angle_gamma 90.00
_symmetry_space_group_name_H-M 'P 1'
_symmetry_Int_Tables_number 1
_symmetry_space_group_name_Hall 'P 1'
loop_
_atom_site_label
_atom_site_type_symbol
_atom_site_fract_x
_atom_site_fract_y
_atom_site_fract_z
Ta1 Ta 0.000 0.000 0.000
Ti1 Ti 0.000 0.500 0.500
Ti2 Ti 0.500 0.000 0.500
H1 H 0.000 0.000 0.500
Os1 Os 0.500 0.500 0.000
# total magnetization = 0.00 μB/cell
# calculated volume = 13.40 A^3/atom
# DOS(E_F) = 5.0 states/eV per cell

---

*B*
# TaTi2HOs, optimized geometry, DFT PBE
data_TaTi2HOs
_chemical_formula_sum 'Ta1 Ti2 H1 Os1'
_cell_length_a 4.371
_cell_length_b 4.371
_cell_length_c 3.523
_cell_angle_alpha 90.00
_cell_angle_beta 90.00
_cell_angle_gamma 90.00
_symmetry_space_group_name_H-M 'P 1'
_symmetry_Int_Tables_number 1
_symmetry_space_group_name_Hall 'P 1'
loop_
_atom_site_label
_atom_site_type_symbol
_atom_site_fract_x
_atom_site_fract_y
_atom_site_fract_z
Ta1 Ta 0.000 0.000 0.000
Ti1 Ti 0.000 0.500 0.500
Ti2 Ti 0.500 0.000 0.500
H1 H 0.500 0.500 0.500
Os1 Os 0.500 0.500 0.000
# total magnetization = 0.00 μB/cell
# calculated volume = 13.46 A^3/atom
# DOS(E_F) = 6.1 states/eV per cell

---

The structure with the least stability is *B*.

---

*A*
# Ta2VHOs, optimized geometry, DFT PBE
data_Ta2VHOs
_chemical_formula_sum 'Ta2 V1 H1 Os1'
_cell_length_a 4.389
_cell_length_b 4.389
_cell_length_c 3.492
_cell_angle_alpha 90.00
_cell_angle_beta 90.00
_cell_angle_gamma 90.00
_symmetry_space_group_name_H-M 'P 1'
_symmetry_Int_Tables_number 1
_symmetry_space_group_name_Hall 'P 1'
loop_
_atom_site_label
_atom_site_type_symbol
_atom_site_fract_x
_atom_site_fract_y
_atom_site_fract_z
Ta1 Ta 0.000 0.500 0.000
Ta2 Ta 0.500 0.000 0.000
V1 V 0.000 0.000 0.500
H1 H 0.500 0.500 0.000
Os1 Os 0.500 0.500 0.500
# total magnetization = 0.00 μB/cell
# calculated volume = 13.45 A^3/atom
# DOS(E_F) = 3.5 states/eV per cell

---

*B*
# Ta2VHOs, optimized geometry, DFT PBE
data_Ta2VHOs
_chemical_formula_sum 'Ta2 V1 H1 Os1'
_cell_length_a 4.464
_cell_length_b 4.464
_cell_length_c 3.305
_cell_angle_alpha 90.00
_cell_angle_beta 90.00
_cell_angle_gamma 90.00
_symmetry_space_group_name_H-M 'P 1'
_symmetry_Int_Tables_number 1
_symmetry_space_group_name_Hall 'P 1'
loop_
_atom_site_label
_atom_site_type_symbol
_atom_site_fract_x
_atom_site_fract_y
_atom_site_fract_z
Ta1 Ta 0.000 0.500 0.000
Ta2 Ta 0.500 0.000 0.000
V1 V 0.000 0.000 0.500
H1 H 0.000 0.000 0.000
Os1 Os 0.500 0.500 0.500
# total magnetization = 0.00 μB/cell
# calculated volume = 13.17 A^3/atom
# DOS(E_F) = 2.9 states/eV per cell

---

The structure with the least stability is *A*.